The following is a DFT calculation (PBE-GGA) of crystalline BiPb2Se at its relaxed geometry.

The structure in CIF format:
```
data_BiPb2Se
_space_group_name_H-M_alt 'P 1'
_space_group_IT_number 1
_cell_length_a 3.7109
_cell_length_b 3.7109
_cell_length_c 8.5700
_cell_angle_alpha 90.00
_cell_angle_beta 90.00
_cell_angle_gamma 90.00
loop_
_space_group_symop_operation_xyz
'x,y,z'
loop_
_atom_site_label
_atom_site_fract_x
_atom_site_fract_y
_atom_site_fract_z
Se1 0.5000 0.5000 0.0000
Pb1 0.0000 0.0000 0.7858
Pb2 0.0000 0.0000 0.2142
Bi1 0.5000 0.5000 0.5000
```

Output
* volume: 29.504 Å³/atom
* formation energy without anion corrections: -137 meV per atom
* magnetic moment: 0.00 μB per cell
* energy relative to the lowest polymorph listed for this composition: 49.2 meV per atom